[1]
CePa3N6: relaxed, PBE.

extended XYZ file:
```
20
Lattice="-3.253 1.366 -0.627 -3.919 -8.076 2.738 0.652 5.099 7.729" Properties=species:S:1:pos:R:3 pbc="T T T"
Pa -4.042 0.293 6.254
N -4.153 -4.312 7.035
N -2.367 2.701 2.806
Pa -2.642 1.246 1.063
Pa -5.354 -3.226 5.392
N -1.497 -0.063 2.510
N -4.424 -1.370 4.609
N -2.095 -0.240 5.232
Ce -5.044 -4.075 1.934
Pa -2.477 -1.903 3.586
N -2.157 5.092 6.931
N -3.093 2.317 5.740
N -3.426 -3.927 4.100
N -4.094 -1.936 1.664
Pa -1.165 1.616 4.448
Ce -1.475 2.465 7.907
N -2.425 0.326 8.177
N -4.362 -6.703 2.910
Pa -3.877 -2.856 8.777
N -5.022 -1.548 7.330
```

Summary:
Offset from the most stable computed form   0.000 eV/atom
E_form (uncorrected)   -1.636 eV/atom

[2]
RbHfAgTe3: relaxed, PBE.

extended XYZ file:
```
12
Lattice="-1.571 3.406 -1.997 -8.524 -2.358 2.686 -2.749 4.441 9.735" Properties=species:S:1:pos:R:3 pbc="T T T"
Ag -2.133 2.442 3.582
Te -7.472 5.364 8.245
Te -4.608 3.876 3.453
Te -1.668 1.212 1.119
Te -5.371 0.125 2.179
Rb -8.330 2.044 3.257
Te -11.175 4.277 9.305
Te -8.236 1.614 6.971
Ag -10.710 3.048 6.842
Hf -4.252 2.579 0.961
Rb -4.513 3.446 7.166
Hf -8.592 2.911 9.462
```

Summary:
E_form (uncorrected)   -0.771 eV/atom

[3]
TlCu2Sn2: relaxed, PBE.

extended XYZ file:
```
5
Lattice="-3.407 2.931 -0.647 -2.994 -3.252 1.034 -2.950 1.312 5.550" Properties=species:S:1:pos:R:3 pbc="T T T"
Sn -4.572 -1.051 3.389
Cu -3.144 0.169 1.393
Cu -6.207 0.821 4.544
Tl 0.000 0.000 0.000
Sn -4.779 2.041 2.548
```

Summary:
Offset from the most stable computed form   0.013 eV/atom
Formation energy   0.174 eV per atom

[4]
Zr2Sn2Se7: relaxed, PBE.

extended XYZ file:
```
11
Lattice="3.894 0.000 0.000 1.947 9.065 0.316 1.947 4.577 7.832" Properties=species:S:1:pos:R:3 pbc="T T T"
Se 3.894 10.626 7.557
Se 1.947 4.314 4.681
Zr 3.894 6.175 5.155
Se 3.894 4.663 7.688
Zr 1.947 8.201 1.763
Sn 1.947 3.812 1.940
Sn 5.841 10.126 5.712
Se 3.894 1.950 2.376
Se 3.894 6.163 2.378
Se 3.894 8.626 3.849
Se 5.841 7.475 6.569
```

Summary:
E_form (uncorrected)   -0.781 eV/atom

Let's list magnetic moment in order: 0.07, 0.00, 0.00, 0.00 μB/atom.
Let's list electronic total energy in order: -10.073, -4.637, -3.539, -5.281 eV per atom.